# Ho4NiBi2 | the Alexandria database | PBE-GGA | optimized geometry
# Total moment   0.000 μB per formula unit
# Formation energy   -0.453 eV per atom
# Offset from the most stable computed form   0.063 eV/atom
# E   -35.02 eV per formula unit
# Density of states at the Fermi level   13.66 states/eV per cell
# Volume   27.865 Å³ per atom
data_Ho4NiBi2
_symmetry_space_group_name_H-M 'P 1 21/m 1'
_symmetry_Int_Tables_number 11
_cell_length_a 6.887
_cell_length_b 6.579
_cell_length_c 9.039
_cell_angle_alpha 90.00
_cell_angle_beta 107.74
_cell_angle_gamma 90.00
loop_
_symmetry_equiv_pos_as_xyz
'x,y,z'
'-x,-y,-z'
'-x,y+1/2,-z'
'x,-y+1/2,z'
loop_
_atom_site_label
_atom_site_fract_x
_atom_site_fract_y
_atom_site_fract_z
Ho1 0.019 0.003 0.277
Ho2 0.363 0.750 0.062
Ho3 0.430 0.750 0.638
Ni1 0.325 0.750 0.334
Bi1 0.211 0.250 0.040
Bi2 0.277 0.250 0.582